# 1
{"formula": "Tb2CeNd3Ho6", "functional": "PBE-GGA", "state": "relaxed", "delta_e_f_kj_per_mol_fu": 39, "n_ef_per_ev_fu": 17.846, "volume_a3_per_fu": 385.55, "lattice_angstrom": [[-1.839, -5.856, 0.855], [4.274, 2.481, 3.739], [-9.180, 4.793, 5.601]], "species": ["Nd", "Nd", "Nd", "Ho", "Ho", "Ho", "Ho", "Ho", "Ho", "Tb", "Tb", "Ce"], "fractional_positions": [[0.500, 0.500, 0.500], [0.168, 0.832, 0.500], [0.832, 0.168, 0.500], [0.413, 0.082, 0.247], [0.751, 0.751, 0.247], [0.249, 0.249, 0.753], [0.082, 0.413, 0.247], [0.918, 0.587, 0.753], [0.587, 0.918, 0.753], [0.667, 0.333, 0.000], [0.333, 0.667, 0.000], [0.000, 0.000, 0.000]]}

# 2
{"formula": "TbCeNdHo", "functional": "PBE-GGA", "state": "relaxed", "delta_e_f_kj_per_mol_fu": 66, "n_ef_per_ev_fu": 10.691, "volume_a3_per_fu": 130.54, "lattice_angstrom": [[-2.122, -1.131, 5.161], [3.172, -2.759, 3.840], [1.989, 2.763, 4.564]], "species": ["Ho", "Tb", "Nd", "Ce"], "fractional_positions": [[0.500, 0.500, 0.500], [0.000, 0.000, 0.000], [0.250, 0.250, 0.250], [0.750, 0.750, 0.750]]}

# 3
{"formula": "Tb5CeNdHo2", "functional": "PBE-GGA", "state": "relaxed", "delta_e_f_kj_per_mol_fu": 151, "n_ef_per_ev_fu": 16.054, "volume_a3_per_fu": 295.59, "lattice_angstrom": [[5.716, 0.000, 0.000], [-2.858, 10.770, 0.000], [0.000, 0.000, 9.603]], "species": ["Tb", "Tb", "Tb", "Tb", "Tb", "Tb", "Tb", "Tb", "Tb", "Tb", "Ce", "Ce", "Ho", "Ho", "Ho", "Ho", "Nd", "Nd"], "fractional_positions": [[0.013, 0.025, 0.015], [0.606, 0.213, 0.541], [0.987, 0.975, 0.515], [0.733, 0.467, 0.833], [0.694, 0.388, 0.216], [0.529, 0.058, 0.246], [0.306, 0.612, 0.716], [0.471, 0.942, 0.746], [0.267, 0.533, 0.333], [0.394, 0.787, 0.041], [0.806, 0.612, 0.523], [0.194, 0.388, 0.023], [0.137, 0.273, 0.705], [0.113, 0.227, 0.323], [0.863, 0.727, 0.205], [0.887, 0.773, 0.823], [0.597, 0.194, 0.923], [0.403, 0.806, 0.423]]}

# 4
{"formula": "Ce2NdHoTe5", "functional": "PBE-GGA", "state": "relaxed", "raw_formation_energy_kj_per_mol_atoms": -82.5, "n_ef_per_ev_fu": 19.746, "volume_a3_per_fu": 356.03, "lattice_angstrom": [[-0.240, -5.471, -0.484], [1.477, 0.402, -5.280], [11.336, -0.772, 3.113]], "species": ["Ce", "Ce", "Te", "Te", "Te", "Te", "Te", "Nd", "Ho"], "fractional_positions": [[0.500, 0.500, 0.324], [0.500, 0.500, 0.676], [0.000, 0.000, 0.250], [0.000, 0.500, 0.500], [0.000, 0.000, 0.750], [0.500, 0.500, 0.000], [0.500, 0.000, 0.500], [0.000, 0.000, 0.000], [0.000, 0.000, 0.500]]}